Entry 1:
# SrCuAuSe3 (PBE, relaxed)
data_SrCuAuSe3
_chemical_formula_sum 'Sr2 Cu2 Au2 Se6'
_cell_length_a 6.512
_cell_length_b 6.512
_cell_length_c 10.415
_cell_angle_alpha 90.00
_cell_angle_beta 90.00
_cell_angle_gamma 142.69
_symmetry_space_group_name_H-M 'P 1'
_symmetry_Int_Tables_number 1
loop_
_symmetry_equiv_pos_as_xyz
'x,y,z'
loop_
_atom_site_label
_atom_site_fract_x
_atom_site_fract_y
_atom_site_fract_z
Sr1 0.245 0.755 0.750
Sr2 0.755 0.245 0.250
Cu1 0.459 0.541 0.250
Cu2 0.541 0.459 0.750
Au1 0.000 0.000 0.000
Au2 0.000 0.000 0.500
Se1 0.059 0.941 0.250
Se2 0.355 0.645 0.041
Se3 0.355 0.645 0.459
Se4 0.645 0.355 0.541
Se5 0.645 0.355 0.959
Se6 0.941 0.059 0.750
# Symmetry ... Cmcm (63)
# Uncorrected energy ... -3.788 eV per atom
# Density ... 7258 kg/m³

---

Entry 2:
# Tl2CuAuSe4 (PBE, relaxed)
data_Tl2CuAuSe4
_chemical_formula_sum 'Tl2 Cu1 Au1 Se4'
_cell_length_a 7.499
_cell_length_b 7.499
_cell_length_c 7.499
_cell_angle_alpha 132.27
_cell_angle_beta 132.27
_cell_angle_gamma 69.80
_symmetry_space_group_name_H-M 'P 1'
_symmetry_Int_Tables_number 1
loop_
_symmetry_equiv_pos_as_xyz
'x,y,z'
loop_
_atom_site_label
_atom_site_fract_x
_atom_site_fract_y
_atom_site_fract_z
Tl1 0.000 0.000 0.000
Tl2 0.750 0.250 0.500
Cu1 0.250 0.750 0.500
Au1 0.500 0.500 0.000
Se1 0.153 0.633 0.048
Se2 0.367 0.415 0.520
Se3 0.585 0.105 0.952
Se4 0.895 0.847 0.480
# Symmetry ... I-4 (82)
# Uncorrected energy ... -3.384 eV per atom
# Density ... 7224 kg/m³

---

Entry 3:
# CuSi2Au2 (PBE, relaxed)
data_CuSi2Au2
_chemical_formula_sum 'Cu1 Si2 Au2'
_cell_length_a 5.617
_cell_length_b 5.617
_cell_length_c 5.617
_cell_angle_alpha 134.10
_cell_angle_beta 134.10
_cell_angle_gamma 66.93
_symmetry_space_group_name_H-M 'P 1'
_symmetry_Int_Tables_number 1
loop_
_symmetry_equiv_pos_as_xyz
'x,y,z'
loop_
_atom_site_label
_atom_site_fract_x
_atom_site_fract_y
_atom_site_fract_z
Cu1 0.000 0.000 0.000
Si1 0.380 0.380 0.000
Si2 0.620 0.620 0.000
Au1 0.250 0.750 0.500
Au2 0.750 0.250 0.500
# Symmetry ... I4/mmm (139)
# Uncorrected energy ... -3.941 eV per atom
# Density ... 9487 kg/m³

---

Entry 4:
# SmCuSi2Au (PBE, relaxed)
data_SmCuSi2Au
_chemical_formula_sum 'Sm1 Cu1 Si2 Au1'
_cell_length_a 5.919
_cell_length_b 5.919
_cell_length_c 5.919
_cell_angle_alpha 139.10
_cell_angle_beta 139.10
_cell_angle_gamma 59.22
_symmetry_space_group_name_H-M 'P 1'
_symmetry_Int_Tables_number 1
loop_
_symmetry_equiv_pos_as_xyz
'x,y,z'
loop_
_atom_site_label
_atom_site_fract_x
_atom_site_fract_y
_atom_site_fract_z
Sm1 0.000 0.000 0.000
Cu1 0.750 0.250 0.500
Si1 0.386 0.386 0.000
Si2 0.614 0.614 0.000
Au1 0.250 0.750 0.500
# Symmetry ... I-4m2 (119)
# Uncorrected energy ... -5.118 eV per atom
# Density ... 8808 kg/m³

---

Entry 5:
# SrCuSi2Au (PBE, relaxed)
data_SrCuSi2Au
_chemical_formula_sum 'Sr1 Cu1 Si2 Au1'
_cell_length_a 5.922
_cell_length_b 5.922
_cell_length_c 5.922
_cell_angle_alpha 137.33
_cell_angle_beta 137.33
_cell_angle_gamma 61.93
_symmetry_space_group_name_H-M 'P 1'
_symmetry_Int_Tables_number 1
loop_
_symmetry_equiv_pos_as_xyz
'x,y,z'
loop_
_atom_site_label
_atom_site_fract_x
_atom_site_fract_y
_atom_site_fract_z
Sr1 0.000 0.000 0.000
Cu1 0.750 0.250 0.500
Si1 0.382 0.382 0.000
Si2 0.618 0.618 0.000
Au1 0.250 0.750 0.500
# Symmetry ... I-4m2 (119)
# Uncorrected energy ... -4.330 eV per atom
# Density ... 7118 kg/m³

---

Entry 6:
# TaCuSiAu (PBE, relaxed)
data_TaCuSiAu
_chemical_formula_sum 'Ta1 Cu1 Si1 Au1'
_cell_length_a 4.463
_cell_length_b 4.463
_cell_length_c 4.463
_cell_angle_alpha 60.00
_cell_angle_beta 60.00
_cell_angle_gamma 60.00
_symmetry_space_group_name_H-M 'P 1'
_symmetry_Int_Tables_number 1
loop_
_symmetry_equiv_pos_as_xyz
'x,y,z'
loop_
_atom_site_label
_atom_site_fract_x
_atom_site_fract_y
_atom_site_fract_z
Ta1 0.000 0.000 0.000
Cu1 0.500 0.500 0.500
Si1 0.250 0.250 0.250
Au1 0.750 0.750 0.750
# Symmetry ... F-43m (216)
# Energy above the most stable polymorph in this dataset ... 0 meV per atom
# Density ... 12405 kg/m³